Entry P
This record from Alexandria describes crystalline Ge2BSe at its relaxed geometry. The functional is PBE-GGA.

## Properties
- space-group type = I-42d

a = 5.5152 Å, b = 5.5152 Å, c = 6.3682 Å
α = 64.34°, β = 64.34°, γ = 90.00°
Fractional positions:
Ge (0.5374, 0.1250, 0.2500)
Ge (0.2126, 0.6250, 0.2500)
Ge (0.3750, 0.4626, 0.7500)
Ge (0.8750, 0.7874, 0.7500)
B (0.5000, 0.5000, 0.0000)
B (0.2500, 0.7500, 0.5000)
Se (0.0000, 0.0000, 0.0000)
Se (0.7500, 0.2500, 0.5000)



Entry Q
This record from Alexandria describes crystalline Ge2BSe at its relaxed geometry. The functional is PBE-GGA.

## Properties
- space-group type = Fm-3m

a = 4.5835 Å, b = 4.5835 Å, c = 4.5835 Å
α = 60.00°, β = 60.00°, γ = 60.00°
Fractional positions:
Ge (0.2500, 0.2500, 0.2500)
Ge (0.7500, 0.7500, 0.7500)
B (0.0000, 0.0000, 0.0000)
Se (0.5000, 0.5000, 0.5000)



Short version: entry P, entry Q, most stable first.



Entry P
This record from Alexandria describes crystalline SiGeB3 at its relaxed geometry. The functional is PBE-GGA.

## Properties
- space-group type = Pm-3m

a = 4.0210 Å, b = 4.0210 Å, c = 4.0210 Å
α = 90.00°, β = 90.00°, γ = 90.00°
Fractional positions:
Ge (0.5000, 0.5000, 0.5000)
B (0.0000, 0.5000, 0.0000)
B (0.0000, 0.0000, 0.5000)
B (0.5000, 0.0000, 0.0000)
Si (0.0000, 0.0000, 0.0000)



Entry Q
This record from Alexandria describes crystalline SiGeB3 at its relaxed geometry. The functional is PBE-GGA.

## Properties
- space-group type = Pm-3m

a = 4.1211 Å, b = 4.1211 Å, c = 4.1211 Å
α = 90.00°, β = 90.00°, γ = 90.00°
Fractional positions:
Ge (0.0000, 0.0000, 0.0000)
B (0.0000, 0.5000, 0.0000)
B (0.0000, 0.0000, 0.5000)
B (0.5000, 0.0000, 0.0000)
Si (0.5000, 0.5000, 0.5000)



Short version: entry P, entry Q, most stable first.



Entry P
This record from Alexandria describes crystalline SiGe3B at its relaxed geometry. The functional is PBE-GGA.

## Properties
- space-group type = Pm-3m

a = 4.3808 Å, b = 4.3808 Å, c = 4.3808 Å
α = 90.00°, β = 90.00°, γ = 90.00°
Fractional positions:
Ge (0.0000, 0.5000, 0.0000)
Ge (0.0000, 0.0000, 0.5000)
Ge (0.5000, 0.0000, 0.0000)
B (0.0000, 0.0000, 0.0000)
Si (0.5000, 0.5000, 0.5000)



Entry Q
This record from Alexandria describes crystalline SiGe3B at its relaxed geometry. The functional is PBE-GGA.

## Properties
- space-group type = Pm-3m

a = 4.7239 Å, b = 4.7239 Å, c = 4.7239 Å
α = 90.00°, β = 90.00°, γ = 90.00°
Fractional positions:
Ge (0.0000, 0.5000, 0.0000)
Ge (0.0000, 0.0000, 0.5000)
Ge (0.5000, 0.0000, 0.0000)
B (0.5000, 0.5000, 0.5000)
Si (0.0000, 0.0000, 0.0000)



Short version: entry P, entry Q, most stable first.



Entry P
This record from Alexandria describes crystalline Si2GeB at its relaxed geometry. The functional is PBE-GGA.

## Properties
- space-group type = Fm-3m

a = 4.2718 Å, b = 4.2718 Å, c = 4.2718 Å
α = 60.00°, β = 60.00°, γ = 60.00°
Fractional positions:
Ge (0.5000, 0.5000, 0.5000)
B (0.0000, 0.0000, 0.0000)
Si (0.2500, 0.2500, 0.2500)
Si (0.7500, 0.7500, 0.7500)



Entry Q
This record from Alexandria describes crystalline Si2GeB at its relaxed geometry. The functional is PBE-GGA.

## Properties
- space-group type = I-42d

a = 5.1678 Å, b = 5.1678 Å, c = 6.1975 Å
α = 65.36°, β = 65.36°, γ = 90.00°
Fractional positions:
Ge (0.0000, 0.0000, 0.0000)
Ge (0.7500, 0.2500, 0.5000)
B (0.5000, 0.5000, 0.0000)
B (0.2500, 0.7500, 0.5000)
Si (0.5601, 0.1250, 0.2500)
Si (0.1899, 0.6250, 0.2500)
Si (0.3750, 0.4399, 0.7500)
Si (0.8750, 0.8101, 0.7500)



Short version: entry Q, entry P, most stable first.



Entry P
This record from Alexandria describes crystalline SnGeB3 at its relaxed geometry. The functional is PBE-GGA.

## Properties
- space-group type = Pm-3m

a = 4.2268 Å, b = 4.2268 Å, c = 4.2268 Å
α = 90.00°, β = 90.00°, γ = 90.00°
Fractional positions:
Ge (0.0000, 0.0000, 0.0000)
B (0.0000, 0.5000, 0.0000)
B (0.0000, 0.0000, 0.5000)
B (0.5000, 0.0000, 0.0000)
Sn (0.5000, 0.5000, 0.5000)



Entry Q
This record from Alexandria describes crystalline SnGeB3 at its relaxed geometry. The functional is PBE-GGA.

## Properties
- space-group type = Pm-3m

a = 4.5000 Å, b = 4.5000 Å, c = 4.5000 Å
α = 90.00°, β = 90.00°, γ = 90.00°
Fractional positions:
Ge (0.5000, 0.5000, 0.5000)
B (0.0000, 0.5000, 0.0000)
B (0.0000, 0.0000, 0.5000)
B (0.5000, 0.0000, 0.0000)
Sn (0.0000, 0.0000, 0.0000)



Short version: entry P, entry Q, most stable first.



Entry P
This record from Alexandria describes crystalline Sn2GeB at its relaxed geometry. The functional is PBE-GGA.

## Properties
- space-group type = Fm-3m

a = 4.8432 Å, b = 4.8432 Å, c = 4.8432 Å
α = 60.00°, β = 60.00°, γ = 60.00°
Fractional positions:
Ge (0.5000, 0.5000, 0.5000)
B (0.0000, 0.0000, 0.0000)
Sn (0.2500, 0.2500, 0.2500)
Sn (0.7500, 0.7500, 0.7500)



Entry Q
This record from Alexandria describes crystalline Sn2GeB at its relaxed geometry. The functional is PBE-GGA.

## Properties
- space-group type = I-42d

a = 5.7876 Å, b = 5.7876 Å, c = 6.9589 Å
α = 65.43°, β = 65.43°, γ = 90.00°
Fractional positions:
Ge (0.0000, 0.0000, 0.0000)
Ge (0.7500, 0.2500, 0.5000)
B (0.5000, 0.5000, 0.0000)
B (0.2500, 0.7500, 0.5000)
Sn (0.5673, 0.1250, 0.2500)
Sn (0.1827, 0.6250, 0.2500)
Sn (0.3750, 0.4327, 0.7500)
Sn (0.8750, 0.8173, 0.7500)



Short version: entry Q, entry P, most stable first.



Entry P
This record from Alexandria describes crystalline SnGe2B at its relaxed geometry. The functional is PBE-GGA.

## Properties
- space-group type = I-42d

a = 5.5708 Å, b = 5.5708 Å, c = 6.5989 Å
α = 65.03°, β = 65.03°, γ = 90.00°
Fractional positions:
Ge (0.5363, 0.1250, 0.2500)
Ge (0.2137, 0.6250, 0.2500)
Ge (0.3750, 0.4637, 0.7500)
Ge (0.8750, 0.7863, 0.7500)
B (0.5000, 0.5000, 0.0000)
B (0.2500, 0.7500, 0.5000)
Sn (0.0000, 0.0000, 0.0000)
Sn (0.7500, 0.2500, 0.5000)



Entry Q
This record from Alexandria describes crystalline SnGe2B at its relaxed geometry. The functional is PBE-GGA.

## Properties
- space-group type = Fm-3m

a = 4.7281 Å, b = 4.7281 Å, c = 4.7281 Å
α = 60.00°, β = 60.00°, γ = 60.00°
Fractional positions:
Ge (0.2500, 0.2500, 0.2500)
Ge (0.7500, 0.7500, 0.7500)
B (0.0000, 0.0000, 0.0000)
Sn (0.5000, 0.5000, 0.5000)



Short version: entry P, entry Q, most stable first.



Entry P
This record from Alexandria describes crystalline Sr2GeB at its relaxed geometry. The functional is PBE-GGA.

## Properties
- space-group type = Fm-3m

a = 5.2460 Å, b = 5.2460 Å, c = 5.2460 Å
α = 60.00°, β = 60.00°, γ = 60.00°
Fractional positions:
Sr (0.2500, 0.2500, 0.2500)
Sr (0.7500, 0.7500, 0.7500)
Ge (0.5000, 0.5000, 0.5000)
B (0.0000, 0.0000, 0.0000)



Entry Q
This record from Alexandria describes crystalline Sr2GeB at its relaxed geometry. The functional is PBE-GGA.

## Properties
- space-group type = I-42d

a = 8.0954 Å, b = 8.0954 Å, c = 6.7335 Å
α = 53.05°, β = 53.05°, γ = 90.00°
Fractional positions:
Sr (0.5869, 0.1250, 0.2500)
Sr (0.1631, 0.6250, 0.2500)
Sr (0.3750, 0.4131, 0.7500)
Sr (0.8750, 0.8369, 0.7500)
Ge (0.0000, 0.0000, 0.0000)
Ge (0.7500, 0.2500, 0.5000)
B (0.5000, 0.5000, 0.0000)
B (0.2500, 0.7500, 0.5000)



Short version: entry P, entry Q, most stable first.



Entry P
This record from Alexandria describes crystalline SrGe3B at its relaxed geometry. The functional is PBE-GGA.

## Properties
- space-group type = Pm-3m

a = 4.6602 Å, b = 4.6602 Å, c = 4.6602 Å
α = 90.00°, β = 90.00°, γ = 90.00°
Fractional positions:
Sr (0.5000, 0.5000, 0.5000)
Ge (0.0000, 0.5000, 0.0000)
Ge (0.0000, 0.0000, 0.5000)
Ge (0.5000, 0.0000, 0.0000)
B (0.0000, 0.0000, 0.0000)



Entry Q
This record from Alexandria describes crystalline SrGe3B at its relaxed geometry. The functional is PBE-GGA.

## Properties
- space-group type = Pm-3m

a = 5.6311 Å, b = 5.6311 Å, c = 5.6311 Å
α = 90.00°, β = 90.00°, γ = 90.00°
Fractional positions:
Sr (0.0000, 0.0000, 0.0000)
Ge (0.0000, 0.5000, 0.0000)
Ge (0.0000, 0.0000, 0.5000)
Ge (0.5000, 0.0000, 0.0000)
B (0.5000, 0.5000, 0.5000)



Short version: entry P, entry Q, most stable first.



Entry P
This record from Alexandria describes crystalline SrGeB3 at its relaxed geometry. The functional is PBE-GGA.

## Properties
- space-group type = Pm-3m

a = 4.2907 Å, b = 4.2907 Å, c = 4.2907 Å
α = 90.00°, β = 90.00°, γ = 90.00°
Fractional positions:
Sr (0.5000, 0.5000, 0.5000)
Ge (0.0000, 0.0000, 0.0000)
B (0.0000, 0.5000, 0.0000)
B (0.0000, 0.0000, 0.5000)
B (0.5000, 0.0000, 0.0000)



Entry Q
This record from Alexandria describes crystalline SrGeB3 at its relaxed geometry. The functional is PBE-GGA.

## Properties
- space-group type = Pm-3m

a = 4.8675 Å, b = 4.8675 Å, c = 4.8675 Å
α = 90.00°, β = 90.00°, γ = 90.00°
Fractional positions:
Sr (0.0000, 0.0000, 0.0000)
Ge (0.5000, 0.5000, 0.5000)
B (0.0000, 0.5000, 0.0000)
B (0.0000, 0.0000, 0.5000)
B (0.5000, 0.0000, 0.0000)



Short version: entry P, entry Q, most stable first.



Entry P
This record from Alexandria describes crystalline TaGeB3 at its relaxed geometry. The functional is PBE-GGA.

## Properties
- space-group type = Pm-3m

a = 3.9808 Å, b = 3.9808 Å, c = 3.9808 Å
α = 90.00°, β = 90.00°, γ = 90.00°
Fractional positions:
Ge (0.0000, 0.0000, 0.0000)
B (0.0000, 0.5000, 0.0000)
B (0.0000, 0.0000, 0.5000)
B (0.5000, 0.0000, 0.0000)
Ta (0.5000, 0.5000, 0.5000)



Entry Q
This record from Alexandria describes crystalline TaGeB3 at its relaxed geometry. The functional is PBE-GGA.

## Properties
- space-group type = Pm-3m

a = 4.3130 Å, b = 4.3130 Å, c = 4.3130 Å
α = 90.00°, β = 90.00°, γ = 90.00°
Fractional positions:
Ge (0.5000, 0.5000, 0.5000)
B (0.0000, 0.5000, 0.0000)
B (0.0000, 0.0000, 0.5000)
B (0.5000, 0.0000, 0.0000)
Ta (0.0000, 0.0000, 0.0000)



Short version: entry Q, entry P, most stable first.



Entry P
This record from Alexandria describes crystalline Ta2GeB at its relaxed geometry. The functional is PBE-GGA.

## Properties
- space-group type = R-3m

a = 3.2218 Å, b = 3.2218 Å, c = 6.9832 Å
α = 76.66°, β = 76.66°, γ = 60.00°
Fractional positions:
Ge (0.5000, 0.5000, 0.5000)
B (0.0000, 0.0000, 0.0000)
Ta (0.7283, 0.7283, 0.8151)
Ta (0.2717, 0.2717, 0.1849)



Entry Q
This record from Alexandria describes crystalline Ta2GeB at its relaxed geometry. The functional is PBE-GGA.

## Properties
- space-group type = I-42d

a = 5.4199 Å, b = 5.4199 Å, c = 6.5700 Å
α = 65.64°, β = 65.64°, γ = 90.00°
Fractional positions:
Ge (0.0000, 0.0000, 0.0000)
Ge (0.7500, 0.2500, 0.5000)
B (0.5000, 0.5000, 0.0000)
B (0.2500, 0.7500, 0.5000)
Ta (0.5514, 0.1250, 0.2500)
Ta (0.1986, 0.6250, 0.2500)
Ta (0.3750, 0.4486, 0.7500)
Ta (0.8750, 0.8014, 0.7500)



Entry R
This record from Alexandria describes crystalline Ta2GeB at its relaxed geometry. The functional is PBE-GGA.

## Properties
- space-group type = Fm-3m

a = 4.3452 Å, b = 4.3452 Å, c = 4.3452 Å
α = 60.00°, β = 60.00°, γ = 60.00°
Fractional positions:
Ge (0.5000, 0.5000, 0.5000)
B (0.0000, 0.0000, 0.0000)
Ta (0.2500, 0.2500, 0.2500)
Ta (0.7500, 0.7500, 0.7500)



Short version: entry P, entry R, entry Q, most stable first.